The following is a DFT calculation (PBE-GGA) of Tl2ReRu after structural relaxation.

Output
Total energy: -5.600 eV per atom
Relative energy among the computed polymorphs: 578.4 meV per atom
DOS(E_F): 1.245 states/eV/atom
Space-group type: Cmmm (65)
Energy of formation: 1014 meV per atom
Crystal system: orthorhombic
Total moment: 0.0521 μB/atom

POSCAR file:
```
Tl2ReRu
1.0
-1.9619 2.1235 0.8931
-0.6455 -1.5691 -2.5055
-4.5144 -6.3265 5.1250
Re Ru Tl
1 1 2
Direct
0.5000 0.5000 0.2500 Re
0.5000 0.5000 0.7500 Ru
0.0000 0.0000 0.9933 Tl
0.0000 0.0000 0.5067 Tl
```

---

The following is a DFT calculation (PBE-GGA) of TePdRu2 after structural relaxation.

Output
Total energy: -5.761 eV per atom
Uncorrected formation energy: 0.9607 eV per atom
DOS(E_F): 1.480 states/eV/atom
Space-group type: I-42d (122)
Crystal system: tetragonal
Total moment: 0.0000 μB/atom

POSCAR file:
```
TePdRu2
1.0
5.3992 0.0000 0.0000
0.0000 5.3992 0.0000
2.6996 2.6996 6.3922
Ru Te Pd
4 2 2
Direct
0.6160 0.1250 0.2500 Ru
0.1340 0.6250 0.2500 Ru
0.3750 0.3840 0.7500 Ru
0.8750 0.8660 0.7500 Ru
0.0000 0.0000 0.0000 Te
0.7500 0.2500 0.5000 Te
0.5000 0.5000 0.0000 Pd
0.2500 0.7500 0.5000 Pd
```

---

The following is a DFT calculation (PBE-GGA) of Pr2Nd7Mg2 after structural relaxation.

Output
Total energy: -4.091 eV per atom
DOS(E_F): 1.267 states/eV/atom
Space-group type: C2/m (12)
Energy of formation: 102 meV per atom
Crystal system: monoclinic
Total moment: 0.0000 μB/atom

POSCAR file:
```
Pr2Nd7Mg2
1.0
8.6153 -1.8595 0.1864
-1.8584 5.7288 1.6524
-0.8223 1.8595 8.5780
Pr Nd Mg
2 7 2
Direct
0.2063 0.8178 0.7937 Pr
0.7937 0.1822 0.2063 Pr
0.4193 0.1684 0.0634 Nd
0.0634 0.8316 0.4193 Nd
0.5807 0.8316 0.9366 Nd
0.9366 0.1684 0.5807 Nd
0.5815 0.3634 0.4185 Nd
0.0000 0.0000 0.0000 Nd
0.4185 0.6366 0.5815 Nd
0.7666 0.5000 0.7666 Mg
0.2334 0.5000 0.2334 Mg
```

---

The following is a DFT calculation (PBE-GGA) of SnAsPb2 after structural relaxation.

Output
Total energy: -3.828 eV per atom
Relative energy among the computed polymorphs: 90.7 meV per atom
DOS(E_F): 0.436 states/eV/atom
Space-group type: I-42d (122)
Energy of formation: 189 meV per atom
Crystal system: tetragonal
Total moment: 0.0000 μB/atom

POSCAR file:
```
SnAsPb2
1.0
6.7312 0.0000 0.0000
0.0000 6.7312 0.0000
3.3656 3.3656 6.7799
Pb As Sn
4 2 2
Direct
0.6071 0.1250 0.2500 Pb
0.1429 0.6250 0.2500 Pb
0.3750 0.3929 0.7500 Pb
0.8750 0.8571 0.7500 Pb
0.5000 0.5000 0.0000 As
0.2500 0.7500 0.5000 As
0.0000 0.0000 0.0000 Sn
0.7500 0.2500 0.5000 Sn
```

---

The following is a DFT calculation (PBE-GGA) of GdTm2Pb after structural relaxation.

Output
Total energy: -6.876 eV per atom
Relative energy among the computed polymorphs: 81.0 meV per atom
DOS(E_F): 1.137 states/eV/atom
Space-group type: P4/mmm (123)
Energy of formation: -193 meV per atom
Crystal system: tetragonal
Total moment: 1.8447 μB/atom

POSCAR file:
```
GdTm2Pb
1.0
-3.5944 -0.2017 -0.1131
0.1944 -3.5896 0.2246
-0.3191 0.5552 9.1500
Pb Gd Tm
1 1 2
Direct
0.5000 0.5000 0.0000 Pb
0.5000 0.5000 0.5000 Gd
0.0000 0.0000 0.7664 Tm
0.0000 0.0000 0.2336 Tm
```

---

The following is a DFT calculation (PBE-GGA) of DyTmPd2 after structural relaxation.

Output
Total energy: -5.779 eV per atom
Relative energy among the computed polymorphs: 21.4 meV per atom
DOS(E_F): 0.460 states/eV/atom
Space-group type: P4/mmm (123)
Energy of formation: -915 meV per atom
Crystal system: tetragonal
Total moment: 0.0000 μB/atom

POSCAR file:
```
DyTmPd2
1.0
3.4175 0.0000 0.0000
0.0000 4.9723 0.0000
0.0000 0.0000 4.9723
Tm Pd Dy
1 2 1
Direct
0.5000 0.0000 0.0000 Tm
0.0000 0.0000 0.5000 Pd
0.0000 0.5000 0.0000 Pd
0.5000 0.5000 0.5000 Dy
```

---

The following is a DFT calculation (PBE-GGA) of Li2LaReCl after structural relaxation.

Output
Total energy: -4.330 eV per atom
Uncorrected formation energy: 0.2801 eV per atom
DOS(E_F): 1.227 states/eV/atom
Space-group type: P4/mmm (123)
Crystal system: tetragonal
Total moment: 0.3145 μB/atom

POSCAR file:
```
Li2LaReCl
1.0
4.3810 0.0000 0.0000
0.0000 5.4144 0.0000
0.0000 0.0000 4.3810
Re Cl Li La
1 1 2 1
Direct
0.0000 0.5000 0.0000 Re
0.0000 0.0000 0.0000 Cl
0.0000 0.0000 0.5000 Li
0.5000 0.0000 0.0000 Li
0.5000 0.5000 0.5000 La
```

---

The following is a DFT calculation (PBE-GGA) of Pr3SbAs2Pd9 after structural relaxation.

Output
Total energy: -5.562 eV per atom
Uncorrected formation energy: -0.5961 eV per atom
DOS(E_F): 0.299 states/eV/atom
Space-group type: P-3m1 (164)
Crystal system: trigonal
Total moment: 0.0000 μB/atom

POSCAR file:
```
Pr3SbAs2Pd9
1.0
-0.7169 5.5588 1.5487
-2.9988 -2.1800 -4.4796
-8.4614 -3.0880 7.1670
Pr Sb As Pd
3 1 2 9
Direct
0.3333 0.6667 0.7569 Pr
0.0000 0.0000 0.0000 Pr
0.6667 0.3333 0.2431 Pr
0.0000 0.0000 0.5000 Sb
0.3333 0.6667 0.1630 As
0.6667 0.3333 0.8370 As
0.8351 0.1649 0.6769 Pd
0.8351 0.6701 0.6769 Pd
0.3299 0.1649 0.6769 Pd
0.6701 0.8351 0.3231 Pd
0.1649 0.3299 0.3231 Pd
0.1649 0.8351 0.3231 Pd
0.5000 0.0000 0.0000 Pd
0.0000 0.5000 0.0000 Pd
0.5000 0.5000 0.0000 Pd
```

---

The following is a DFT calculation (PBE-GGA) of LaTaCl3 after structural relaxation.

Output
Total energy: -4.725 eV per atom
Relative energy among the computed polymorphs: 189.8 meV per atom
Uncorrected formation energy: -0.2612 eV per atom
DOS(E_F): 0.380 states/eV/atom
Space-group type: Pm-3m (221)
Crystal system: cubic
Total moment: 0.6172 μB/atom

POSCAR file:
```
LaTaCl3
1.0
5.6211 0.0000 0.0000
0.0000 5.6211 0.0000
0.0000 0.0000 5.6211
Cl Ta La
3 1 1
Direct
0.0000 0.5000 0.0000 Cl
0.0000 0.0000 0.5000 Cl
0.5000 0.0000 0.0000 Cl
0.5000 0.5000 0.5000 Ta
0.0000 0.0000 0.0000 La
```

---

The following is a DFT calculation (PBE-GGA) of Dy6Er3Sc after structural relaxation.

Output
Total energy: -4.522 eV per atom
Relative energy among the computed polymorphs: 99.2 meV per atom
DOS(E_F): 1.940 states/eV/atom
Space-group type: R3 (146)
Energy of formation: 242 meV per atom
Crystal system: trigonal
Total moment: 0.0001 μB/atom

POSCAR file:
```
Dy6Er3Sc
1.0
8.5375 0.0000 4.5306
3.0666 7.9677 4.5306
2.1317 1.4637 6.2924
Dy Er Sc
6 3 1
Direct
0.9338 0.5956 0.2183 Dy
0.2523 0.9338 0.2183 Dy
0.5956 0.2523 0.2183 Dy
0.0832 0.4390 0.7194 Dy
0.7584 0.0832 0.7194 Dy
0.4390 0.7584 0.7194 Dy
0.3636 0.3636 0.9092 Er
0.6106 0.6106 0.1683 Er
0.1031 0.1031 0.6907 Er
0.8605 0.8605 0.4186 Sc
```

---

The following is a DFT calculation (PBE-GGA) of CaAgTe2 after structural relaxation.

Output
Total energy: -3.455 eV per atom
Uncorrected formation energy: -0.6709 eV per atom
DOS(E_F): 0.321 states/eV/atom
Space-group type: I-42d (122)
Crystal system: tetragonal
Total moment: 0.0000 μB/atom

POSCAR file:
```
CaAgTe2
1.0
8.1265 0.0000 0.0000
0.0000 8.1265 0.0000
4.0633 4.0633 3.4822
Ca Te Ag
2 4 2
Direct
0.5000 0.5000 0.0000 Ca
0.2500 0.7500 0.5000 Ca
0.6537 0.1250 0.2500 Te
0.0963 0.6250 0.2500 Te
0.3750 0.3463 0.7500 Te
0.8750 0.9037 0.7500 Te
0.0000 0.0000 0.0000 Ag
0.7500 0.2500 0.5000 Ag
```

---

The following is a DFT calculation (PBE-GGA) of Cu5GeTe4Br2 after structural relaxation.

Output
Total energy: -3.480 eV per atom
Uncorrected formation energy: -0.0626 eV per atom
DOS(E_F): 0.528 states/eV/atom
Space-group type: Amm2 (38)
Crystal system: orthorhombic
Total moment: 0.0000 μB/atom

POSCAR file:
```
Cu5GeTe4Br2
1.0
6.3379 0.0000 0.0000
-3.1689 6.0372 0.0000
0.0000 0.0000 7.8999
Cu Ge Te Br
5 1 4 2
Direct
0.0702 0.3362 0.2226 Cu
0.3736 0.0000 0.5000 Cu
0.0702 0.3362 0.7774 Cu
0.7340 0.6638 0.7774 Cu
0.7340 0.6638 0.2226 Cu
0.4301 0.0000 0.0000 Ge
0.6658 0.0000 0.2691 Te
0.6658 0.0000 0.7309 Te
0.3947 0.3742 0.0000 Te
0.0204 0.6258 0.0000 Te
0.9600 0.6732 0.5000 Br
0.2869 0.3268 0.5000 Br
```